Density functional theory data (PBE with a Hubbard U) for an optimized crystal structure of K2MnCu2F6.

Results
Calculated total energy: -4.72 eV per atom
Space-group type: No. 12
Crystal system: monoclinic
Total moment: 5.1 μB/cell

Unit cell a=5.9215 b=6.2377 c=6.5459 alpha=118.41 beta=90.00 gamma=118.34
Last column: nearest neighbours and their distance in Å.
Sites, in units of the cell vectors:
1 F 0.2751 0.5501 0.3890  1 Cu 1.92
2 F 0.8051 0.1186 0.7776  1 Cu 2.03, 1 Mn 2.14
3 Cu 0.9322 0.8644 0.7690  3 F 1.92-2.03
4 F 0.6865 0.8814 0.2224  1 Cu 2.03, 1 Mn 2.14
5 F 0.7249 0.4499 0.6110  1 Cu 1.92
6 K 0.2780 0.5561 0.8207  5 F 2.67-2.81
7 Cu 0.0678 0.1356 0.2310  3 F 1.92-2.03
8 K 0.7220 0.4439 0.1793  5 F 2.67-2.81
9 F 0.1949 0.8814 0.2224  1 Cu 2.03, 1 Mn 2.14
10 Mn 0.5000 0.0000 0.5000  6 F 2.14-2.17
11 F 0.3135 0.1186 0.7776  1 Cu 2.03, 1 Mn 2.14